1.
Here is a relaxed Er6ZnAg5 crystal from Alexandria. Energies are from PBE.

Geometry as CIF:
```
data_Er6ZnAg5
_chemical_formula_sum 'Er12 Zn2 Ag10'
_space_group_name_H-M_alt 'C m m m'
_space_group_IT_number 65
_space_group_name_Hall '-C 2 2'
_cell_length_a 5.0917
_cell_length_b 15.2436
_cell_length_c 7.1680
_cell_angle_alpha 90.00
_cell_angle_beta 90.00
_cell_angle_gamma 90.00
loop_
_atom_site_label
_atom_site_fract_x
_atom_site_fract_y
_atom_site_fract_z
_atom_site_occupancy
Er1 0.0000 0.0000 0.2484 1
Er2 0.0000 0.3342 0.2489 1
Zn1 0.0000 0.5000 0.0000 1
Ag1 0.0000 0.1649 0.0000 1
Ag2 0.0000 0.1673 0.5000 1
Ag3 0.0000 0.5000 0.5000 1
```

As for the energy of formation: -0.336 eV/atom.

---

2.
Here is a relaxed PaSO5 crystal from Alexandria. Energies are from PBE.

Geometry as CIF:
```
data_PaSO5
_chemical_formula_sum 'Pa4 S4 O20'
_space_group_name_H-M_alt 'C 1 2/c 1'
_space_group_IT_number 15
_space_group_name_Hall '-C 2yc'
_cell_length_a 8.2181
_cell_length_b 8.3761
_cell_length_c 8.1874
_cell_angle_alpha 90.00
_cell_angle_beta 119.34
_cell_angle_gamma 90.00
loop_
_atom_site_label
_atom_site_fract_x
_atom_site_fract_y
_atom_site_fract_z
_atom_site_occupancy
Pa1 0.0000 0.0000 0.0000 1
S1 0.0000 0.3697 0.2500 1
O1 0.0000 0.0658 0.7500 1
O2 0.0114 0.2678 0.1065 1
O3 0.1679 0.4723 0.3428 1
```

---

3.
Here is a relaxed Te2Mo3WSe6 crystal from Alexandria. Energies are from PBE.

Geometry as CIF:
```
data_Te2Mo3WSe6
_chemical_formula_sum 'Te2 Mo3 W1 Se6'
_space_group_name_H-M_alt 'P 3 m 1'
_space_group_IT_number 156
_space_group_name_Hall 'P 3 -2"'
_cell_length_a 3.3775
_cell_length_b 3.3775
_cell_length_c 28.7183
_cell_angle_alpha 90.00
_cell_angle_beta 90.00
_cell_angle_gamma 120.00
loop_
_atom_site_label
_atom_site_fract_x
_atom_site_fract_y
_atom_site_fract_z
_atom_site_occupancy
Te1 0.0000 0.0000 0.0000 1
Te2 0.0000 0.0000 0.1311 1
Mo1 0.0000 0.0000 0.3189 1
Mo2 0.0000 0.0000 0.8100 1
Mo3 0.3333 0.6667 0.0655 1
W1 0.3333 0.6667 0.5636 1
Se1 0.0000 0.0000 0.5057 1
Se2 0.0000 0.0000 0.6215 1
Se3 0.3333 0.6667 0.2613 1
Se4 0.3333 0.6667 0.3765 1
Se5 0.3333 0.6667 0.7524 1
Se6 0.3333 0.6667 0.8676 1
```

---

4.
Here is a relaxed VFe2CuSn crystal from Alexandria. Energies are from PBE.

Geometry as CIF:
```
data_VFe2CuSn
_chemical_formula_sum 'V1 Fe2 Cu1 Sn1'
_space_group_name_H-M_alt 'P 4/m m m'
_space_group_IT_number 123
_space_group_name_Hall '-P 4 2'
_cell_length_a 4.2492
_cell_length_b 4.2492
_cell_length_c 4.6808
_cell_angle_alpha 90.00
_cell_angle_beta 90.00
_cell_angle_gamma 90.00
loop_
_atom_site_label
_atom_site_fract_x
_atom_site_fract_y
_atom_site_fract_z
_atom_site_occupancy
V1 0.0000 0.0000 0.0000 1
Fe1 0.0000 0.5000 0.0000 1
Cu1 0.0000 0.0000 0.5000 1
Sn1 0.5000 0.5000 0.5000 1
```

As for the energy of formation: 0.979 eV/atom.

---

5.
Here is a relaxed HoTeAu4 crystal from Alexandria. Energies are from PBE.

Geometry as CIF:
```
data_HoTeAu4
_chemical_formula_sum 'Ho4 Te4 Au16'
_space_group_name_H-M_alt 'F -4 3 m'
_space_group_IT_number 216
_space_group_name_Hall 'F -4 2 3'
_cell_length_a 8.0023
_cell_length_b 8.0023
_cell_length_c 8.0023
_cell_angle_alpha 90.00
_cell_angle_beta 90.00
_cell_angle_gamma 90.00
loop_
_atom_site_label
_atom_site_fract_x
_atom_site_fract_y
_atom_site_fract_z
_atom_site_occupancy
Ho1 0.0000 0.0000 0.0000 1
Te1 0.2500 0.2500 0.7500 1
Au1 0.1252 0.1252 0.3748 1
```

---

6.
Here is a relaxed CeGeSb crystal from Alexandria. Energies are from PBE.

Geometry as CIF:
```
data_CeGeSb
_chemical_formula_sum 'Ce1 Ge1 Sb1'
_space_group_name_H-M_alt 'P m m m'
_space_group_IT_number 47
_space_group_name_Hall '-P 2 2'
_cell_length_a 4.1594
_cell_length_b 4.4634
_cell_length_c 4.5180
_cell_angle_alpha 90.00
_cell_angle_beta 90.00
_cell_angle_gamma 90.00
loop_
_atom_site_label
_atom_site_fract_x
_atom_site_fract_y
_atom_site_fract_z
_atom_site_occupancy
Ce1 0.0000 0.0000 0.0000 1
Ge1 0.5000 0.0000 0.5000 1
Sb1 0.0000 0.5000 0.5000 1
```

---

7.
Here is a relaxed Pa2CuSn crystal from Alexandria. Energies are from PBE.

Geometry as CIF:
```
data_Pa2CuSn
_chemical_formula_sum 'Pa2 Cu1 Sn1'
_space_group_name_H-M_alt 'P 4/m m m'
_space_group_IT_number 123
_space_group_name_Hall '-P 4 2'
_cell_length_a 4.3412
_cell_length_b 4.3412
_cell_length_c 4.6787
_cell_angle_alpha 90.00
_cell_angle_beta 90.00
_cell_angle_gamma 90.00
loop_
_atom_site_label
_atom_site_fract_x
_atom_site_fract_y
_atom_site_fract_z
_atom_site_occupancy
Pa1 0.0000 0.5000 0.0000 1
Cu1 0.0000 0.0000 0.5000 1
Sn1 0.5000 0.5000 0.5000 1
```

As for the energy of formation: -0.049 eV/atom.

---

8.
Here is a relaxed Tb5Pm5Sc2 crystal from Alexandria. Energies are from PBE.

Geometry as CIF:
```
data_Tb5Pm5Sc2
_chemical_formula_sum 'Tb10 Pm10 Sc4'
_space_group_name_H-M_alt 'C 1 2/m 1'
_space_group_IT_number 12
_space_group_name_Hall '-C 2y'
_cell_length_a 15.0607
_cell_length_b 5.0152
_cell_length_c 11.2193
_cell_angle_alpha 90.00
_cell_angle_beta 116.52
_cell_angle_gamma 90.00
loop_
_atom_site_label
_atom_site_fract_x
_atom_site_fract_y
_atom_site_fract_z
_atom_site_occupancy
Tb1 0.0000 0.0000 0.0000 1
Tb2 0.0801 0.0000 0.7494 1
Tb3 0.1678 0.0000 0.5002 1
Pm1 0.0000 0.5000 0.5000 1
Pm2 0.1634 0.5000 0.9991 1
Pm3 0.2464 0.0000 0.2491 1
Sc1 0.0838 0.5000 0.2530 1
```

As for the energy of formation: 0.036 eV/atom.

---

| no. | total magnetization (μB/cell) | E (eV per formula unit) |
| --- | --- | --- |
| 1 | 0.0 | -46.94 |
| 2 | 4.0 | -54.09 |
| 3 | 0.0 | -79.01 |
| 4 | 2.3 | -29.25 |
| 5 | 0.0 | -23.17 |
| 6 | 0.2 | -16.36 |
| 7 | 0.0 | -27.29 |
| 8 | 0.0 | -59.14 |